No. 1
The following is a GGA-PBE calculation of crystalline Pr2PuF at its relaxed geometry, from the Alexandria database.

Cell lengths 3.4270, 3.4270, 31.3449 Å; angles 90.00, 90.00, 120.00 degrees
Closest atoms and distances in Å follow each position.
Space group R-3m (No. 166, hexagonal axes)
Asymmetric unit:
Pr  0.0000  0.0000  0.1057 (multiplicity 6)  3 F 2.75
Pu  0.0000  0.0000  0.0000 (multiplicity 3)  2 Pr 3.31, 6 Pu 3.43
F  0.0000  0.0000  0.5000 (multiplicity 3)  6 Pr 2.75

## Properties
total magnetic moment: 5.94 μB per formula unit
formation energy (no corrections): -818 meV/atom
crystal system: trigonal

=====

No. 2
The following is a GGA-PBE calculation of crystalline PrPuF at its relaxed geometry, from the Alexandria database.

Cell lengths 13.9819, 3.2582, 6.2743 Å; angles 90.00, 110.99, 90.00 degrees
Closest atoms and distances in Å follow each position.
Space group C2/m (No. 12)
Asymmetric unit:
Pr  0.1102  0.0000  0.2686 (multiplicity 4)  2 F 2.62
Pu  0.2017  0.0000  0.8850 (multiplicity 4)  2 Pu 2.27, 2 F 2.49
F  0.1024  0.5000  0.5891 (multiplicity 4)  2 Pu 2.49, 2 Pr 2.62, 1 F 2.68

## Properties
total magnetic moment: 0.00 μB per formula unit
formation energy (no corrections): -1197 meV/atom
crystal system: monoclinic

=====

No. 3
The following is a GGA-PBE calculation of crystalline Rb2Pr2F7 at its relaxed geometry, from the Alexandria database.

Cell lengths 8.0632, 8.6667, 6.8431 Å; angles 90.00, 90.00, 90.00 degrees
Closest atoms and distances in Å follow each position.
Space group Cmmm (No. 65)
Asymmetric unit:
Rb  0.2384  0.0000  0.0000 (multiplicity 4)  6 F 2.85-3.01
Pr  0.0000  0.2300  0.5000 (multiplicity 4)  7 F 2.34-2.42
F  0.0000  0.0000  0.3072 (multiplicity 4)  2 Pr 2.39, 1 F 2.64
F  0.0000  0.5000  0.5000 (multiplicity 2)  2 Pr 2.34
F  0.2500  0.2500  0.3048 (multiplicity 8)  2 Pr 2.42, 1 F 2.67

## Properties
total magnetic moment: 0.43 μB per formula unit
formation energy (no corrections): -3414 meV/atom
crystal system: orthorhombic

=====

No. 4
The following is a GGA-PBE calculation of crystalline Rb2PrF4 at its relaxed geometry, from the Alexandria database.

Cell lengths 4.6844, 4.6844, 17.8783 Å; angles 90.00, 90.00, 90.00 degrees
Closest atoms and distances in Å follow each position.
Space group I4/mmm (No. 139)
Asymmetric unit:
Rb  0.0000  0.0000  0.1623 (multiplicity 4)  9 F 3.37-3.77
Pr  0.0000  0.0000  0.5000 (multiplicity 2)  6 F 2.27-2.34
F  0.0000  0.0000  0.3730 (multiplicity 4)  1 Pr 2.27
F  0.0000  0.5000  0.0000 (multiplicity 4)  2 Pr 2.34

## Properties
total magnetic moment: 0.00 μB per formula unit
formation energy (no corrections): -2974 meV/atom
crystal system: tetragonal

=====

No. 5
The following is a GGA-PBE calculation of crystalline Rb2PrF6 at its relaxed geometry, from the Alexandria database.

Cell lengths 4.1864, 6.6054, 13.3995 Å; angles 90.00, 90.00, 90.00 degrees
Closest atoms and distances in Å follow each position.
Space group Immm (No. 71)
Asymmetric unit:
Rb  0.0000  0.0000  0.1691 (multiplicity 4)  8 F 2.84-3.01
Pr  0.0000  0.0000  0.5000 (multiplicity 2)  8 F 2.37-2.47
F  0.0000  0.2159  0.3587 (multiplicity 8)  1 Pr 2.37
F  0.0000  0.3009  0.0000 (multiplicity 4)  2 Pr 2.47, 1 F 2.63

## Properties
total magnetic moment: 1.08 μB per formula unit
formation energy (no corrections): -3029 meV/atom
crystal system: orthorhombic

=====

No. 6
The following is a GGA-PBE calculation of crystalline RbPr2F6 at its relaxed geometry, from the Alexandria database.

Cell lengths 4.2127, 4.2127, 18.9087 Å; angles 90.00, 90.00, 90.00 degrees
Closest atoms and distances in Å follow each position.
Space group I4/mmm (No. 139)
Asymmetric unit:
Rb  0.0000  0.0000  0.0000 (multiplicity 2)  8 F 2.97
Pr  0.0000  0.0000  0.3341 (multiplicity 4)  4 F 2.35
F  0.0000  0.5000  0.1107 (multiplicity 8)  2 Pr 2.35
F  0.0000  0.5000  0.2500 (multiplicity 4)  2 F 2.63, 4 Pr 2.64

## Properties
total magnetic moment: 0.95 μB per formula unit
formation energy (no corrections): -3532 meV/atom
crystal system: tetragonal

=====

No. 7
The following is a GGA-PBE calculation of crystalline Rb3PrF6 at its relaxed geometry, from the Alexandria database.

Cell lengths 7.4403, 7.4403, 9.7708 Å; angles 90.00, 90.00, 90.00 degrees
Closest atoms and distances in Å follow each position.
Space group I4/mmm (No. 139)
Asymmetric unit:
Rb  0.0000  0.0000  0.0000 (multiplicity 2)  2 F 2.56
Rb  0.0000  0.5000  0.2500 (multiplicity 4)  4 F 2.83
Pr  0.0000  0.0000  0.5000 (multiplicity 2)  6 F 2.30-2.32
F  0.0000  0.0000  0.2621 (multiplicity 4)  1 Pr 2.32, 1 Rb 2.56
F  0.0000  0.3091  0.5000 (multiplicity 8)  1 Pr 2.30

## Properties
total magnetic moment: 0.00 μB per formula unit
formation energy (no corrections): -3171 meV/atom
crystal system: tetragonal

=====

No. 8
The following is a GGA-PBE calculation of crystalline Rb3PrF6 at its relaxed geometry, from the Alexandria database.

Cell lengths 9.9353, 9.9353, 9.9353 Å; angles 90.00, 90.00, 90.00 degrees
Closest atoms and distances in Å follow each position.
Space group Fm-3m (No. 225)
Asymmetric unit:
Rb  0.0000  0.0000  0.0000 (multiplicity 4)  6 F 2.67
Rb  0.2500  0.2500  0.2500 (multiplicity 8)  12 F 3.52
Pr  0.0000  0.0000  0.5000 (multiplicity 4)  6 F 2.30
F  0.0000  0.0000  0.2689 (multiplicity 24)  1 Pr 2.30

## Properties
total magnetic moment: 0.00 μB per formula unit
formation energy (no corrections): -3198 meV/atom
crystal system: cubic

=====

No. 9
The following is a GGA-PBE calculation of crystalline RbPrZnF6 at its relaxed geometry, from the Alexandria database.

Cell lengths 7.5048, 7.9181, 10.4032 Å; angles 90.00, 90.00, 90.00 degrees
Closest atoms and distances in Å follow each position.
Space group Imma (No. 74)
Asymmetric unit:
Rb  0.0000  0.2500  0.0849 (multiplicity 4)  9 F 3.03-3.09
Pr  0.0000  0.0000  0.5000 (multiplicity 4)  8 F 2.35-2.56
Zn  0.2500  0.2500  0.7500 (multiplicity 4)  6 F 2.04-2.11
F  0.0000  0.2500  0.3789 (multiplicity 4)  2 Pr 2.35
F  0.0000  0.2500  0.6566 (multiplicity 4)  2 Zn 2.11
F  0.2285  0.0625  0.8838 (multiplicity 16)  1 Zn 2.04

## Properties
total magnetic moment: 0.00 μB per formula unit
formation energy (no corrections): -3173 meV/atom
crystal system: orthorhombic

=====

No. 10
The following is a GGA-PBE calculation of crystalline RbPrZn2F8 at its relaxed geometry, from the Alexandria database.

Cell lengths 5.4306, 5.4306, 25.1970 Å; angles 90.00, 90.00, 120.00 degrees
Closest atoms and distances in Å follow each position.
Space group R32 (No. 155, hexagonal axes)
Asymmetric unit:
Rb  0.0000  0.0000  0.0000 (multiplicity 3)  12 F 3.14-3.32
Pr  0.0000  0.0000  0.5000 (multiplicity 3)  6 F 2.32
Zn  0.0000  0.0000  0.2583 (multiplicity 6)  4 F 1.86-1.96
F  0.0000  0.0000  0.3320 (multiplicity 6)  1 Zn 1.86
F  0.0048  0.3253  0.2240 (multiplicity 18)  1 Zn 1.96

## Properties
total magnetic moment: 0.08 μB per formula unit
formation energy (no corrections): -2886 meV/atom
crystal system: trigonal

=====

No. 11
The following is a GGA-PBE calculation of crystalline PrReF at its relaxed geometry, from the Alexandria database.

Cell lengths 4.6217, 4.6416, 9.8332 Å; angles 90.00, 90.00, 90.00 degrees
Closest atoms and distances in Å follow each position.
Space group Cmme (No. 67)
Asymmetric unit:
Pr  0.0000  0.2500  0.1978 (multiplicity 4)  5 F 2.62-2.65
Re  0.0000  0.2500  0.5599 (multiplicity 4)  4 Re 2.59-2.60
F  0.0000  0.2500  0.9279 (multiplicity 4)  5 Pr 2.62-2.65, 4 F 2.71-2.72

## Properties
total magnetic moment: 0.00 μB per formula unit
formation energy (no corrections): -1490 meV/atom
crystal system: orthorhombic

=====

No. 12
The following is a GGA-PBE calculation of crystalline PrRhF at its relaxed geometry, from the Alexandria database.

Cell lengths 7.4345, 4.3077, 7.8638 Å; angles 90.00, 108.55, 90.00 degrees
Closest atoms and distances in Å follow each position.
Space group C2/m (No. 12)
Asymmetric unit:
Pr  0.0865  0.0000  0.2581 (multiplicity 4)  4 F 2.47-2.73
Rh  0.1635  0.5000  0.9898 (multiplicity 4)  3 Rh 2.49
F  0.1971  0.0000  0.5899 (multiplicity 4)  4 Pr 2.47-2.73

## Properties
total magnetic moment: 0.00 μB per formula unit
formation energy (no corrections): -2034 meV/atom
crystal system: monoclinic